{"formula": "SrMgSe2", "functional": "PBE", "state": "relaxed", "total_energy_ev_per_cell": -16.7, "formation_energy_uncorrected_mev_per_atom": -1604.9, "magmom_total_mub_per_cell": 0.0, "lattice": [[2.0922, 1.2079, 6.8106], [-2.0922, 1.2079, 6.8106], [0.0000, -2.4158, 6.8106]], "species": ["Sr", "Mg", "Se", "Se"], "frac_coords": [[0.0000, 0.0000, 0.0000], [0.5000, 0.5000, 0.5000], [0.2390, 0.2390, 0.2390], [0.7610, 0.7610, 0.7610]]}